A geometry-optimized BaAlTl2Bi2 structure, computed with PBE.

Output
volume: 412.14 Å³ per cell
formation energy from the elements: -0.24 eV/atom
D(E_F): 0.55 states/eV per atom
total magnetization: 0.00 μB per formula unit

```
12
Lattice="4.928 0.000 0.000 0.000 9.943 0.000 0.000 0.000 8.412" Properties=species:S:1:pos:R:3 pbc="T T T"
Ba 0.000 0.827 0.000
Ba 0.000 9.117 4.206
Al 2.464 1.561 5.580
Al 2.464 8.382 1.374
Tl 0.000 3.522 2.496
Tl 0.000 6.421 6.702
Tl 2.464 4.227 8.268
Tl 2.464 5.717 4.063
Bi 0.000 3.176 5.714
Bi 0.000 6.767 1.508
Bi 2.464 1.143 2.591
Bi 2.464 8.801 6.797
```

A geometry-optimized BaAlBr2 structure, computed with PBE.

Output
volume: 124.56 Å³ per cell
D(E_F): 0.59 states/eV per atom
energy above the most stable polymorph in this dataset: 0.0138 eV per atom
total magnetization: 0.00 μB per formula unit
ΔE_f (raw): -0.9539 eV/atom

```
4
Lattice="5.253 0.000 0.000 0.000 5.253 0.000 0.000 0.000 4.514" Properties=species:S:1:pos:R:3 pbc="T T T"
Ba 0.000 0.000 0.000
Al 2.627 2.627 0.000
Br 0.000 2.627 2.257
Br 2.627 0.000 2.257
```

A geometry-optimized BaAlBr2 structure, computed with PBE.

Output
volume: 132.57 Å³ per cell
D(E_F): 0.18 states/eV per atom
energy above the most stable polymorph in this dataset: 0.0199 eV per atom
total magnetization: 0.97 μB per formula unit
ΔE_f (raw): -0.9478 eV/atom

```
4
Lattice="-2.303 2.303 6.247 2.303 -2.303 6.247 2.303 2.303 -6.247" Properties=species:S:1:pos:R:3 pbc="T T T"
Ba 0.000 0.000 0.000
Al 0.000 2.303 3.123
Br 2.303 0.000 3.123
Br 0.000 0.000 6.247
```

A geometry-optimized BaAlBr2 structure, computed with PBE.

Output
volume: 182.63 Å³ per cell
D(E_F): 0.57 states/eV per atom
energy above the most stable polymorph in this dataset: 0.3047 eV per atom
total magnetization: 0.00 μB per formula unit
ΔE_f (raw): -0.6630 eV/atom

```
4
Lattice="2.345 1.354 9.584 -2.345 1.354 9.584 0.000 -2.708 9.584" Properties=species:S:1:pos:R:3 pbc="T T T"
Ba 0.000 0.000 0.000
Al 0.000 0.000 14.376
Br 0.000 0.000 3.099
Br 0.000 0.000 25.652
```

A geometry-optimized BaAlBr2 structure, computed with PBE.

Output
volume: 310.41 Å³ per cell
D(E_F): 0.86 states/eV per atom
energy above the most stable polymorph in this dataset: 0.1052 eV per atom
total magnetization: 0.00 μB per formula unit
ΔE_f (raw): -0.8625 eV/atom

```
8
Lattice="-2.782 2.782 10.028 2.782 -2.782 10.028 2.782 2.782 -10.028" Properties=species:S:1:pos:R:3 pbc="T T T"
Ba 0.000 0.000 0.000
Ba 0.000 2.782 5.014
Al 2.782 0.000 5.014
Al 0.000 0.000 10.028
Br 1.391 -1.306 7.521
Br 1.476 1.391 2.507
Br 1.391 4.087 -2.507
Br 1.306 1.391 12.534
```

A geometry-optimized BaAlBr2 structure, computed with PBE.

Output
volume: 153.53 Å³ per cell
D(E_F): 0.41 states/eV per atom
energy above the most stable polymorph in this dataset: 0.0508 eV per atom
total magnetization: 0.00 μB per formula unit
ΔE_f (raw): -0.9169 eV/atom

```
4
Lattice="3.790 -4.521 0.000 3.790 4.521 0.000 -2.876 0.000 4.480" Properties=species:S:1:pos:R:3 pbc="T T T"
Ba 0.000 0.000 0.000
Al 3.790 0.000 0.000
Br 0.457 2.261 2.240
Br 0.457 -2.261 2.240
```

A geometry-optimized BaAlBr2 structure, computed with PBE.

Output
volume: 143.59 Å³ per cell
D(E_F): 0.53 states/eV per atom
energy above the most stable polymorph in this dataset: 0.0000 eV per atom
total magnetization: 0.00 μB per formula unit
ΔE_f (raw): -0.9677 eV/atom

```
4
Lattice="4.954 -2.259 0.000 4.954 2.259 0.000 -1.147 0.000 6.417" Properties=species:S:1:pos:R:3 pbc="T T T"
Ba 0.000 0.000 0.000
Al 4.380 0.000 3.208
Br 1.923 0.000 4.896
Br 6.838 0.000 1.521
```

A geometry-optimized BaAlBr2 structure, computed with PBE.

Output
volume: 139.01 Å³ per cell
D(E_F): 0.45 states/eV per atom
energy above the most stable polymorph in this dataset: 0.0080 eV per atom
total magnetization: 0.07 μB per formula unit
ΔE_f (raw): -0.9597 eV/atom

```
4
Lattice="3.934 0.000 0.000 0.000 4.297 0.000 -0.046 0.000 8.223" Properties=species:S:1:pos:R:3 pbc="T T T"
Ba 0.000 0.000 0.000
Al 1.944 0.000 4.111
Br 1.922 2.148 6.455
Br 1.966 2.148 1.768
```

A geometry-optimized BaAlBr structure, computed with PBE.

Output
volume: 111.72 Å³ per cell
D(E_F): 0.91 states/eV per atom
energy above the most stable polymorph in this dataset: 0.1140 eV per atom
total magnetization: 0.00 μB per formula unit
ΔE_f (raw): -0.4021 eV/atom

```
3
Lattice="0.000 3.823 3.823 3.823 0.000 3.823 3.823 3.823 0.000" Properties=species:S:1:pos:R:3 pbc="T T T"
Ba 0.000 0.000 0.000
Al 3.823 3.823 3.823
Br 5.734 5.734 5.734
```

A geometry-optimized BaAl2Br8 structure, computed with PBE.

Output
volume: 489.39 Å³ per cell
D(E_F): 0.00 states/eV per atom
total magnetization: 0.00 μB per formula unit
ΔE_f (raw): -1.4160 eV/atom

```
11
Lattice="7.135 -4.927 0.000 7.135 4.927 0.000 -1.603 0.000 6.961" Properties=species:S:1:pos:R:3 pbc="T T T"
Ba 0.000 0.000 0.000
Al 1.817 0.000 4.703
Al 10.849 0.000 2.258
Br 5.040 3.058 1.721
Br 2.256 0.000 2.392
Br 7.627 3.058 5.239
Br 3.806 0.000 5.822
Br 8.861 0.000 1.139
Br 5.040 -3.058 1.721
Br 10.411 0.000 4.568
Br 7.627 -3.058 5.239
```

A geometry-optimized BaAlBr structure, computed with PBE.

Output
volume: 130.13 Å³ per cell
D(E_F): 0.54 states/eV per atom
energy above the most stable polymorph in this dataset: 0.1144 eV per atom
total magnetization: 0.00 μB per formula unit
ΔE_f (raw): -0.4017 eV/atom

```
3
Lattice="4.379 0.000 0.000 -2.189 3.792 0.000 0.000 0.000 7.836" Properties=species:S:1:pos:R:3 pbc="T T T"
Ba 0.000 0.000 0.000
Al 0.000 2.528 5.401
Br 2.189 1.264 1.974
```

A geometry-optimized BaAlBr2 structure, computed with PBE.

Output
volume: 127.86 Å³ per cell
D(E_F): 0.72 states/eV per atom
energy above the most stable polymorph in this dataset: 0.0221 eV per atom
total magnetization: 0.00 μB per formula unit
ΔE_f (raw): -0.9456 eV/atom

```
4
Lattice="-2.690 2.690 4.418 2.690 -2.690 4.418 2.690 2.690 -4.418" Properties=species:S:1:pos:R:3 pbc="T T T"
Ba 0.000 0.000 0.000
Al 0.000 0.000 4.418
Br 2.690 0.000 2.209
Br 0.000 2.690 2.209
```

A geometry-optimized BaAlBr2 structure, computed with PBE.

Output
volume: 130.17 Å³ per cell
D(E_F): 0.61 states/eV per atom
energy above the most stable polymorph in this dataset: 0.0756 eV per atom
total magnetization: 0.00 μB per formula unit
ΔE_f (raw): -0.8921 eV/atom

```
4
Lattice="4.157 0.000 0.000 0.000 4.283 0.000 0.000 0.000 7.311" Properties=species:S:1:pos:R:3 pbc="T T T"
Ba 0.000 0.000 0.000
Al 0.000 0.000 3.656
Br 2.079 2.141 1.760
Br 2.079 2.141 5.552
```